Entry 1:
Material: YF
Method: DFT, PBE
State: optimized geometry Values from VASP.

Properties
Magnetization (Bohr magnetons per cell): 0.0
E above lowest polymorph (eV/f.u.): 0.391
V (Å³/atom): 19.1
ρ (g/cm3): 4.68

```
&SYSTEM
  ibrav = 0, nat = 4, ntyp = 2
/
ATOMIC_SPECIES
Y 88.91 Y.upf
F 19.00 F.upf
CELL_PARAMETERS angstrom
3.5659 -1.8417 0.0000
3.5659 1.8417 0.0000
-0.1162 0.0000 5.8250
ATOMIC_POSITIONS crystal
Y 0.0000 0.0000 0.0000
Y 0.7159 0.7159 0.4996
F 0.3676 0.3676 0.7436
F 0.6834 0.6834 0.9292
```

Entry 2:
Material: Li2La2Hg
Method: DFT, PBE
State: optimized geometry Values from VASP.

Properties
Magnetization (Bohr magnetons per cell): 0.5
ΔH_f (0 K) (meV per atom): -140
E above lowest polymorph (eV/f.u.): 0.008
V (Å³/atom): 28.1
ρ (g/cm3): 5.81

```
&SYSTEM
  ibrav = 0, nat = 5, ntyp = 3
/
ATOMIC_SPECIES
Li 6.94 Li.upf
La 138.91 La.upf
Hg 200.59 Hg.upf
CELL_PARAMETERS angstrom
-1.9075 1.9075 9.6699
1.9075 -1.9075 9.6699
1.9075 1.9075 -9.6699
ATOMIC_POSITIONS crystal
Li 0.2193 0.2193 0.0000
Li 0.7807 0.7807 0.0000
La 0.3978 0.3978 0.0000
La 0.6022 0.6022 0.0000
Hg 0.0000 0.0000 0.0000
```

Entry 3:
Material: Cs2SrCrCl6
Method: DFT, PBE
State: optimized geometry Values from VASP.

Properties
Magnetization (Bohr magnetons per cell): 4.0
V (Å³/atom): 31.4
Energy (eV/cell): -42.293
ρ (g/cm3): 3.27

```
&SYSTEM
  ibrav = 0, nat = 10, ntyp = 4
/
ATOMIC_SPECIES
Cs 132.91 Cs.upf
Sr 87.62 Sr.upf
Cr 52.00 Cr.upf
Cl 35.45 Cl.upf
CELL_PARAMETERS angstrom
0.0000 5.3929 5.3929
5.3929 0.0000 5.3929
5.3929 5.3929 0.0000
ATOMIC_POSITIONS crystal
Cs 0.2500 0.2500 0.2500
Cs 0.7500 0.7500 0.7500
Sr 0.0000 0.0000 0.0000
Cr 0.5000 0.5000 0.5000
Cl 0.2661 0.2661 0.7339
Cl 0.2661 0.7339 0.2661
Cl 0.2661 0.7339 0.7339
Cl 0.7339 0.2661 0.2661
Cl 0.7339 0.2661 0.7339
Cl 0.7339 0.7339 0.2661
```

What are the density of states at the Fermi level values for these records? In order: 0.62 4.91 8.21 states/eV/f.u..